(1)
NbCuIrRu | PBE | relaxed

Cell lengths 3.673, 3.953, 4.018 Å; angles 90.00, 90.00, 90.00 degrees
Element x y z (fractional)
Ir 0.000 0.500 0.500
Ru 0.000 0.000 0.000
Cu 0.500 0.000 0.500
Nb 0.500 0.500 0.000

Summary:
polymorph energy (0 for the lowest one) = 0.0 kJ/mol of atoms
energy of formation from the pure elements = -219 meV/atom
mass density = 12.80 g cm⁻³
calculated total energy = -33.18 eV for the cell shown
total magnetic moment = 0.000 μB/atom

(2)
YHo3Al4 | PBE | relaxed

Cell lengths 5.073, 7.184, 10.146 Å; angles 90.00, 90.00, 90.00 degrees
Element x y z (fractional)
Ho 0.501 0.000 0.250
Ho 0.000 0.000 0.000
Ho 0.000 0.000 0.500
Ho 0.501 0.500 0.250
Ho 0.499 0.500 0.750
Ho 0.499 0.000 0.750
Al 0.500 0.751 0.000
Al 0.001 0.751 0.250
Al 0.001 0.249 0.250
Al 0.500 0.249 0.000
Al 0.500 0.249 0.500
Al 0.999 0.751 0.750
Al 0.999 0.249 0.750
Al 0.500 0.751 0.500
Y 0.000 0.500 0.000
Y 0.000 0.500 0.500

Summary:
energy of formation from the pure elements = -401 meV/atom
mass density = 6.21 g cm⁻³
calculated total energy = -76.76 eV for the cell shown
total magnetic moment = 0.000 μB/atom

(3)
Ac3Ga4Ge4 | PBE | relaxed

Cell lengths 4.718, 4.292, 13.759 Å; angles 80.31, 81.32, 90.26 degrees
Element x y z (fractional)
Ac 0.115 0.649 0.709
Ac 0.885 0.351 0.291
Ac 0.000 0.000 0.000
Ga 0.516 0.101 0.806
Ga 0.243 0.245 0.507
Ga 0.757 0.755 0.493
Ga 0.484 0.899 0.194
Ge 0.313 0.806 0.389
Ge 0.587 0.550 0.902
Ge 0.687 0.194 0.611
Ge 0.413 0.450 0.098

Summary:
energy of formation from the pure elements = -519 meV/atom
mass density = 7.65 g cm⁻³
calculated total energy = -48.61 eV for the cell shown
total magnetic moment = 0.000 μB/atom

(4)
HfTi3Ru | PBE | relaxed

Cell lengths 4.681, 4.681, 4.681 Å; angles 90.00, 90.00, 90.00 degrees
Element x y z (fractional)
Ti 0.000 0.000 0.500
Ti 0.000 0.500 0.000
Ti 0.500 0.000 0.000
Hf 0.000 0.000 0.000
Ru 0.500 0.500 0.500

Summary:
polymorph energy (0 for the lowest one) = 153.0 kJ/mol of atoms
energy of formation from the pure elements = 1482 meV/atom
mass density = 6.85 g cm⁻³
calculated total energy = -35.50 eV for the cell shown
total magnetic moment = 0.000 μB/atom

(5)
Nd2Ga4Ni3Ru | PBE | relaxed

Cell lengths 4.221, 4.221, 9.841 Å; angles 90.00, 90.00, 90.00 degrees
Element x y z (fractional)
Nd 0.500 0.000 0.256
Nd 0.000 0.500 0.744
Ni 0.000 0.000 0.500
Ni 0.500 0.000 0.875
Ni 0.000 0.500 0.125
Ga 0.000 0.000 0.000
Ga 0.500 0.000 0.630
Ga 0.000 0.500 0.370
Ga 0.500 0.500 0.000
Ru 0.500 0.500 0.500

Summary:
energy of formation from the pure elements = -541 meV/atom
mass density = 8.00 g cm⁻³
calculated total energy = -53.67 eV for the cell shown
total magnetic moment = 0.000 μB/atom

(6)
Lu2CoS | PBE | relaxed

Cell lengths 3.459, 3.459, 8.622 Å; angles 78.43, 78.43, 60.00 degrees
Element x y z (fractional)
S 0.500 0.500 0.500
Co 0.000 0.000 0.000
Lu 0.903 0.903 0.292
Lu 0.097 0.097 0.708

Summary:
mass density = 8.43 g cm⁻³
calculated total energy = -21.44 eV for the cell shown
total magnetic moment = 0.241 μB/atom
formation energy without anion corrections = -113 kJ/mol of formula units

(7)
ThTeI | PBE | relaxed

Cell lengths 4.250, 5.305, 5.305 Å; angles 120.00, 90.00, 90.00 degrees
Element x y z (fractional)
I 0.063 0.000 0.000
Te 0.571 0.333 0.667
Th 0.366 0.667 0.333

Summary:
polymorph energy (0 for the lowest one) = 38.9 kJ/mol of atoms
mass density = 7.80 g cm⁻³
calculated total energy = -14.35 eV for the cell shown
total magnetic moment = 0.000 μB/atom
formation energy without anion corrections = -216 kJ/mol of formula units

(8)
Dy2YErSc2 | PBE | relaxed

Cell lengths 5.428, 9.362, 6.874 Å; angles 90.00, 90.00, 90.00 degrees
Element x y z (fractional)
Sc 0.500 0.167 0.250
Sc 0.000 0.333 0.750
Sc 0.000 0.667 0.250
Sc 0.500 0.833 0.750
Er 0.500 0.500 0.500
Er 0.000 0.000 0.000
Dy 0.500 0.833 0.249
Dy 0.000 0.667 0.749
Dy 0.000 0.333 0.251
Dy 0.500 0.167 0.751
Y 0.500 0.500 0.000
Y 0.000 0.000 0.500

Summary:
energy of formation from the pure elements = 70 meV/atom
mass density = 6.38 g cm⁻³
calculated total energy = -64.95 eV for the cell shown
total magnetic moment = 0.000 μB/atom